Below is a geometry-optimized LiGa2Ir structure, with properties calculated at the PBE-GGA level.

Computed properties:
energy of formation from the pure elements = 0.05 eV per atom
density of states at the Fermi level = 4.060 states/eV per cell
mass density = 5720 kg/m3
total magnetization = 0.00 μB/cell
SG = No. 166
ΔE to the lowest computed polymorph = 549 meV per atom

a = 4.227 Å, b = 4.227 Å, c = 19.058 Å
α = 90.00°, β = 90.00°, γ = 120.00°
Element x y z (fractional)
Li (0.000, 0.000, 0.000)
Li (0.333, 0.667, 0.667)
Li (0.667, 0.333, 0.333)
Ga (0.000, 0.000, 0.135)
Ga (0.000, 0.000, 0.865)
Ga (0.333, 0.667, 0.532)
Ga (0.333, 0.667, 0.802)
Ga (0.667, 0.333, 0.198)
Ga (0.667, 0.333, 0.468)
Ir (0.000, 0.000, 0.500)
Ir (0.333, 0.667, 0.167)
Ir (0.667, 0.333, 0.833)